LiMnP: relaxed, GGA-PBE.

Values from the calculation:
total energy: -0.419 Ry per atom
formation energy from the elements: -0.61 eV per formula unit
density: 4.17 g cm⁻³
magnetization: 0.00 μB per atom
space-group type: Imma (74)

```
LiMnP
1.0
-2.348 2.539 3.098
2.348 -2.539 3.098
2.348 2.539 -3.098
Li Mn P
2 2 2
Direct
0.381 0.131 0.250
0.619 0.869 0.750
0.000 0.000 0.500
0.000 0.500 0.000
0.000 0.500 0.500
0.500 0.500 0.000
```